Entry 1:
## La15Tb4Tm (PBE-GGA)

Data for an optimized crystal structure of La15Tb4Tm.

```
La15Tb4Tm
1.0
-1.5474 4.9160 -0.7560
-2.5129 -1.4560 -4.3242
-21.4640 -4.5995 14.0217
La Tb Tm
15 4 1
direct
0.5000 0.5000 0.0000 La
0.5000 0.5000 0.1998 La
0.5000 0.5000 0.4000 La
0.5000 0.5000 0.6000 La
0.5000 0.5000 0.8002 La
0.5000 0.0000 0.0995 La
0.5000 0.0000 0.2997 La
0.5000 0.0000 0.5000 La
0.5000 0.0000 0.7003 La
0.5000 0.0000 0.9005 La
0.0000 0.5000 0.0995 La
0.0000 0.5000 0.2997 La
0.0000 0.5000 0.5000 La
0.0000 0.5000 0.7003 La
0.0000 0.5000 0.9005 La
0.0000 0.0000 0.1995 Tb
0.0000 0.0000 0.3999 Tb
0.0000 0.0000 0.6001 Tb
0.0000 0.0000 0.8005 Tb
0.0000 0.0000 0.0000 Tm
```

Calculated values
Fermi-level density of states = 27.800 states/eV per cell
SG = P4/mmm, No. 123
Energy of formation = 0.0085 eV per atom

=====

Entry 2:
## Li2IrRu (PBE-GGA)

Data for an optimized crystal structure of Li2IrRu.

```
Li2IrRu
1.0
9.1302 -0.0024 -0.0014
8.7468 2.6181 -0.0014
8.7468 1.2798 2.2840
Ir Li Ru
1 2 1
direct
0.7500 0.7500 0.7500 Ir
0.0005 0.0005 0.0005 Li
0.4995 0.4995 0.4995 Li
0.2500 0.2500 0.2500 Ru
```

Calculated values
Fermi-level density of states = 2.245 states/eV per cell
ΔE to the lowest computed polymorph = 0.034 eV/f.u.
SG = R-3m, No. 166
Energy of formation = -0.0382 eV per atom

=====

Entry 3:
## Tc2AsBr (PBE-GGA)

Data for an optimized crystal structure of Tc2AsBr.

```
Tc2AsBr
1.0
-5.0803 2.2580 0.8062
0.3814 -1.1039 5.4949
-0.0361 5.4869 3.9764
As Tc Br
2 4 2
direct
0.5000 0.5000 0.0000 As
0.2500 0.7500 0.5000 As
0.6191 0.1250 0.2500 Tc
0.1309 0.6250 0.2500 Tc
0.3750 0.3809 0.7500 Tc
0.8750 0.8691 0.7500 Tc
0.0000 0.0000 0.0000 Br
0.7500 0.2500 0.5000 Br
```

Calculated values
Fermi-level density of states = 7.164 states/eV per cell
ΔE to the lowest computed polymorph = 2.540 eV/f.u.
SG = I-42d, No. 122

=====

Entry 4:
## CeGa3Ir3 (PBE-GGA)

Data for an optimized crystal structure of CeGa3Ir3.

```
CeGa3Ir3
1.0
6.7754 0.0000 0.0000
0.0000 6.7754 0.0000
0.0000 0.0000 6.7754
Ir Ga Ce
6 6 2
direct
0.0000 0.2500 0.5000 Ir
0.0000 0.7500 0.5000 Ir
0.5000 0.0000 0.7500 Ir
0.7500 0.5000 0.0000 Ir
0.5000 0.0000 0.2500 Ir
0.2500 0.5000 0.0000 Ir
0.2500 0.0000 0.5000 Ga
0.0000 0.5000 0.2500 Ga
0.5000 0.7500 0.0000 Ga
0.7500 0.0000 0.5000 Ga
0.0000 0.5000 0.7500 Ga
0.5000 0.2500 0.0000 Ga
0.5000 0.5000 0.5000 Ce
0.0000 0.0000 0.0000 Ce
```

Calculated values
Fermi-level density of states = 22.578 states/eV per cell
SG = Pm-3n, No. 223
Energy of formation = -0.0068 eV per atom

=====

Entry 5:
## Li2AgHgF8 (PBE-GGA)

Data for an optimized crystal structure of Li2AgHgF8.

```
Li2AgHgF8
1.0
-0.4988 -3.3013 3.3565
4.7660 -0.2701 0.1542
0.9003 5.4334 4.6210
Li Ag Hg F
2 1 1 8
direct
0.4971 0.4936 0.7467 Li
0.5029 0.5064 0.2533 Li
0.0000 0.0000 0.0000 Ag
0.0000 0.0000 0.5000 Hg
0.2020 0.7950 0.2224 F
0.6975 0.7023 0.0028 F
0.7870 0.2171 0.2668 F
0.7980 0.2050 0.7776 F
0.3025 0.2977 0.9972 F
0.2130 0.7829 0.7332 F
0.6777 0.6792 0.4995 F
0.3223 0.3208 0.5005 F
```

Calculated values
Fermi-level density of states = 2.824 states/eV per cell
SG = P-1, No. 2
Calculated total energy = -3.536 eV/atom

=====

Entry 6:
## PrTcOs (PBE-GGA)

Data for an optimized crystal structure of PrTcOs.

```
PrTcOs
1.0
-4.7809 -2.4369 1.1999
4.6139 -2.9181 -0.6570
1.7841 0.8374 8.8094
Pr Tc Os
4 4 4
direct
0.6644 0.3356 0.6852 Pr
0.3319 0.6681 0.8173 Pr
0.3319 0.6681 0.1827 Pr
0.6644 0.3356 0.3148 Pr
0.9952 0.0048 0.7572 Tc
0.9952 0.0048 0.2428 Tc
0.1621 0.3262 0.5000 Tc
0.6738 0.8379 0.5000 Tc
0.1795 0.8205 0.5000 Os
0.8282 0.6566 0.0000 Os
0.3434 0.1718 0.0000 Os
0.8301 0.1699 0.0000 Os
```

Calculated values
Fermi-level density of states = 13.211 states/eV per cell
ΔE to the lowest computed polymorph = 0.000 eV/f.u.
SG = Amm2, No. 38
Energy of formation = 0.0000 eV per atom

=====

Entry 7:
## CrFeBr2 (PBE-GGA)

Data for an optimized crystal structure of CrFeBr2.

```
CrFeBr2
1.0
3.9913 0.0000 0.0000
0.0000 3.7554 0.0048
0.0000 -0.6073 6.1350
Br Cr Fe
2 1 1
direct
0.0000 0.9626 0.9965 Br
0.0000 0.5374 0.5035 Br
0.5000 0.2500 0.2500 Cr
0.5000 0.7500 0.7500 Fe
```

Calculated values
Fermi-level density of states = 2.603 states/eV per cell
ΔE to the lowest computed polymorph = 1.448 eV/f.u.
SG = P2/m, No. 10